# 1
{"formula": "Hf2SnOs2", "functional": "PBE", "state": "optimized geometry", "dft_energy_ev_per_atom": -9.506, "e_form_ev_per_atom": -0.23, "n_ef_per_ev_fu": 4.75, "magmom_total_mub_per_cell": 0.0, "space_group": "P4/mbm (127)", "cell": [[7.6446, 0.0000, 0.0000], [0.0000, 7.6446, 0.0000], [0.0000, 0.0000, 3.2389]], "species": ["Hf", "Hf", "Hf", "Hf", "Os", "Os", "Os", "Os", "Sn", "Sn"], "fractional_positions": [[0.1575, 0.6575, 0.5000], [0.6575, 0.8425, 0.5000], [0.8425, 0.3425, 0.5000], [0.3425, 0.1575, 0.5000], [0.3623, 0.8623, 0.0000], [0.8623, 0.6377, 0.0000], [0.6377, 0.1377, 0.0000], [0.1377, 0.3623, 0.0000], [0.0000, 0.0000, 0.0000], [0.5000, 0.5000, 0.0000]]}

***

# 2
{"formula": "Hf2SnOs", "functional": "PBE", "state": "optimized geometry", "dft_energy_ev_per_atom": -8.642, "e_form_ev_per_atom": 0.14, "n_ef_per_ev_fu": 3.17, "magmom_total_mub_per_cell": 0.0, "space_group": "I-42d (122)", "cell": [[7.6736, 0.0000, 0.0000], [0.0000, 7.6736, 0.0000], [3.8368, 3.8368, 2.9736]], "species": ["Hf", "Hf", "Hf", "Hf", "Os", "Os", "Sn", "Sn"], "fractional_positions": [[0.6741, 0.1250, 0.2500], [0.0759, 0.6250, 0.2500], [0.3750, 0.3259, 0.7500], [0.8750, 0.9241, 0.7500], [0.0000, 0.0000, 0.0000], [0.7500, 0.2500, 0.5000], [0.5000, 0.5000, 0.0000], [0.2500, 0.7500, 0.5000]]}

***

# 3
{"formula": "Hf2SnOs", "functional": "PBE", "state": "optimized geometry", "dft_energy_ev_per_atom": -9.188, "e_form_ev_per_atom": -0.40, "n_ef_per_ev_fu": 1.92, "magmom_total_mub_per_cell": 0.0, "space_group": "P4/mmm (123)", "cell": [[-2.5891, 1.7741, 0.1080], [-1.1536, -1.5322, -2.4868], [-3.5022, -5.4130, 4.9598]], "species": ["Hf", "Hf", "Os", "Sn"], "fractional_positions": [[0.0000, 0.0000, 0.7920], [0.0000, 0.0000, 0.2080], [0.5000, 0.5000, 0.0000], [0.5000, 0.5000, 0.5000]]}

***

# 4
{"formula": "Hf2Sn2Os", "functional": "PBE", "state": "optimized geometry", "dft_energy_ev_per_atom": -7.895, "e_form_ev_per_atom": -0.07, "n_ef_per_ev_fu": 2.41, "magmom_total_mub_per_cell": 0.0, "space_group": "P4/mbm (127)", "cell": [[-6.6030, -1.1149, -1.4485], [-1.1462, -1.7037, 6.5364], [-0.9132, 4.1960, 0.9335]], "species": ["Hf", "Hf", "Hf", "Hf", "Os", "Os", "Sn", "Sn", "Sn", "Sn"], "fractional_positions": [[0.1678, 0.6678, 0.5000], [0.6678, 0.8322, 0.5000], [0.8322, 0.3322, 0.5000], [0.3322, 0.1678, 0.5000], [0.0000, 0.0000, 0.0000], [0.5000, 0.5000, 0.0000], [0.3563, 0.8563, 0.0000], [0.8563, 0.6437, 0.0000], [0.6437, 0.1437, 0.0000], [0.1437, 0.3563, 0.0000]]}